## ZrSc2S (PBE)

Data for crystalline ZrSc2S at its relaxed geometry.

Summary:
Space group: R-3m, No. 166
E_form (uncorrected) (eV/atom): -0.602
N(E_F) (states/eV/cell): 4.1
Total energy (eV/atom): -6.937

Unit cell a=9.272 b=9.272 c=9.272 alpha=20.94 beta=20.94 gamma=20.94
Last column: magnetic moment on the atom in μB.
Fractional coordinates of all 4 atoms:
Zr 0.000 0.000 0.000  0.33
Sc 0.109 0.109 0.109  0.07
Sc 0.891 0.891 0.891  0.07
S 0.500 0.500 0.500  0.00